{
  "formula": "Pm4PrSc2",
  "functional": "PBE-GGA",
  "state": "optimized geometry",
  "lattice": [[1.771, -7.841, 0.000], [1.771, 7.841, 0.000], [-0.853, 0.000, 16.526]],
  "species": ["Pm", "Pm", "Pm", "Pm", "Pm", "Pm", "Pm", "Pm", "Pr", "Pr", "Sc", "Sc", "Sc", "Sc"],
  "frac_coords": [[0.119, 0.769, 0.926], [0.231, 0.881, 0.574], [0.327, 0.430, 0.581], [0.430, 0.327, 0.081], [0.570, 0.673, 0.919], [0.673, 0.570, 0.419], [0.769, 0.119, 0.426], [0.881, 0.231, 0.074], [0.306, 0.694, 0.750], [0.694, 0.306, 0.250], [0.019, 0.981, 0.250], [0.369, 0.631, 0.250], [0.631, 0.369, 0.750], [0.981, 0.019, 0.750]],
  "crystal_system": "monoclinic",
  "formation_enthalpy_0k_ev_per_atom": 0.2267,
  "space_group": "C2/c, No. 15",
  "e_tot_ev_per_cell": -69.72
}

=====

{
  "formula": "Pm4Pr2Sc",
  "functional": "PBE-GGA",
  "state": "optimized geometry",
  "lattice": [[-2.737, 2.737, 8.864], [2.737, -2.737, 8.864], [2.737, 2.737, -8.864]],
  "species": ["Pm", "Pm", "Pm", "Pm", "Pr", "Pr", "Sc"],
  "frac_coords": [[0.000, 0.500, 0.500], [0.179, 0.179, 0.000], [0.500, 0.000, 0.500], [0.821, 0.821, 0.000], [0.375, 0.375, 0.000], [0.625, 0.625, 0.000], [0.000, 0.000, 0.000]],
  "crystal_system": "tetragonal",
  "formation_enthalpy_0k_ev_per_atom": 0.5432,
  "space_group": "I4/mmm, No. 139",
  "e_tot_ev_per_cell": -31.09
}

=====

{
  "formula": "Pm2Pr4Sc",
  "functional": "PBE-GGA",
  "state": "optimized geometry",
  "lattice": [[6.911, 0.000, 0.000], [2.031, 8.413, 0.000], [3.020, 3.347, 8.248]],
  "species": ["Pm", "Pm", "Pm", "Pm", "Pr", "Pr", "Pr", "Pr", "Pr", "Pr", "Pr", "Pr", "Sc", "Sc"],
  "frac_coords": [[0.000, 0.000, 0.000], [0.139, 0.564, 0.284], [0.278, 0.132, 0.560], [0.615, 0.473, 0.402], [0.332, 0.331, 0.826], [0.424, 0.712, 0.850], [0.467, 0.902, 0.125], [0.570, 0.281, 0.142], [0.724, 0.856, 0.424], [0.762, 0.047, 0.681], [0.866, 0.430, 0.706], [0.907, 0.617, 0.968], [0.048, 0.187, 0.259], [0.189, 0.765, 0.537]],
  "crystal_system": "triclinic",
  "formation_enthalpy_0k_ev_per_atom": 0.0521,
  "space_group": "P1, No. 1",
  "e_tot_ev_per_cell": -69.17
}

=====

{
  "formula": "Pm2Pr4Sc",
  "functional": "PBE-GGA",
  "state": "optimized geometry",
  "lattice": [[3.102, -6.545, 0.000], [3.102, 6.545, 0.000], [0.000, 0.000, 6.011]],
  "species": ["Pm", "Pm", "Pr", "Pr", "Pr", "Pr", "Sc"],
  "frac_coords": [[0.110, 0.890, 0.000], [0.890, 0.110, 0.000], [0.188, 0.812, 0.500], [0.365, 0.635, 0.000], [0.635, 0.365, 0.000], [0.812, 0.188, 0.500], [0.500, 0.500, 0.500]],
  "crystal_system": "orthorhombic",
  "formation_enthalpy_0k_ev_per_atom": 0.4718,
  "space_group": "Cmmm, No. 65",
  "e_tot_ev_per_cell": -31.65
}